# 1
Here is NaScB3 at its PBEsol-relaxed geometry from Alexandria via LeMat-Bulk. Energies are from meta-GGA SCAN.

- ΔH_f (0 K): 1.767 eV per atom

a = 4.485 Å, b = 4.485 Å, c = 4.485 Å
α = 90.00°, β = 90.00°, γ = 90.00°
Element x y z (fractional)
Sc1 0.000 0.000 0.000
Na1 0.500 0.500 0.500
B1 0.000 0.500 0.000
B2 0.000 0.000 0.500
B3 0.500 0.000 0.000

# 2
Here is GeI2NO at its PBEsol-relaxed geometry from Alexandria via LeMat-Bulk. Energies are from meta-GGA SCAN.

- Raw formation energy: 1.345 eV per atom

a = 3.867 Å, b = 5.055 Å, c = 5.055 Å
α = 90.00°, β = 90.00°, γ = 90.00°
Element x y z (fractional)
I1 0.000 0.000 0.500
I2 0.000 0.500 0.000
Ge1 0.500 0.500 0.500
O1 0.000 0.000 0.000
N1 0.500 0.000 0.000

Repeat the first record exactly.
Here is NaScB3 at its PBEsol-relaxed geometry from Alexandria via LeMat-Bulk. Energies are from meta-GGA SCAN.

- ΔH_f (0 K): 1.767 eV per atom

a = 4.485 Å, b = 4.485 Å, c = 4.485 Å
α = 90.00°, β = 90.00°, γ = 90.00°
Element x y z (fractional)
Sc1 0.000 0.000 0.000
Na1 0.500 0.500 0.500
B1 0.000 0.500 0.000
B2 0.000 0.000 0.500
B3 0.500 0.000 0.000